Entry from the Alexandria database: a geometry-optimized Ce8Sb2Pb structure (PBE).

* final energy: -5.805 eV per atom
* formation energy (no corrections): -0.403 eV/atom
* ρ: 8.5 g cm⁻³

Lattice parameters (Å, degrees): 8.4560 8.4560 8.2029 115.65 115.65 35.85
Last column: nearest neighbours and their distance in Å.
Fractional coordinates of all 11 atoms:
Ce: 0.0233 0.0233 0.2452  3 Ce 3.02-3.29, 1 Sb 3.18
Ce: 0.1746 0.1746 0.7279  1 Ce 2.82
Ce: 0.3085 0.3085 0.5947  1 Ce 2.82
Ce: 0.4379 0.4379 0.0573  1 Ce 2.57
Ce: 0.5621 0.5621 0.9427  1 Ce 2.57
Ce: 0.6915 0.6915 0.4053  1 Ce 2.82
Ce: 0.8254 0.8254 0.2721  1 Ce 2.82
Ce: 0.9767 0.9767 0.7548  3 Ce 3.02-3.29, 1 Sb 3.18
Sb: 0.1905 0.1905 0.1391  10 Ce 3.18-3.45
Sb: 0.8095 0.8095 0.8609  10 Ce 3.18-3.45
Pb: 0.5000 0.5000 0.5000  12 Ce 3.30-3.66